This record from the Alexandria database describes BeSnSbI2 at its PBEsol-relaxed geometry. The functional is SCAN.

abc: 5.7740 5.8165 5.8165
angles: 90.00 90.00 90.00
Site moments in Bohr magnetons follow the coordinates.
Atoms (fractional coordinates):
Sn1 0.0000 0.0000 0.0000  0.01
I1 0.0000 0.0000 0.5000  0.06
I2 0.0000 0.5000 0.0000  0.06
Sb1 0.5000 0.0000 0.0000  0.53
Be1 0.5000 0.5000 0.5000  0.00

Output
As for the total magnetization: 0.30 μB per atom. The value obtained for the uncorrected formation energy is 4.43 eV per formula unit. For the calculated total energy, the calculation gives -29.317 eV per atom. Its space-group type is P4/mmm.